Entry from the Alexandria database: crystalline MgTlSF2 at its relaxed geometry (PBE).

## Properties
Density of states at the Fermi level: 1.50 states/eV/f.u.
ρ: 5.808 Mg/m³
VASP energy: -22.05 eV per cell
E_form (uncorrected): -2.0440 eV/atom

Lattice parameters (Å, degrees): 3.959 3.959 5.450 90.00 90.00 90.00
Element x y z (fractional)
Mg 0.000 0.000 0.000
Tl 0.500 0.500 0.500
S 0.000 0.000 0.500
F 0.000 0.500 0.000
F 0.500 0.000 0.000